# B7C5

Crystalline B7C5 at its relaxed geometry (PBE, Alexandria).

Structure (POSCAR):
```
B7C5
1.0
6.370 0.151 -1.544
5.766 2.710 -1.544
-0.173 -0.041 5.415
B C
7 5
direct
0.029 0.029 0.889
0.881 0.881 0.284
0.258 0.258 0.377
0.993 0.993 0.537
0.652 0.652 0.292
0.597 0.597 0.565
0.339 0.339 0.714
0.326 0.326 0.170
0.899 0.899 0.686
0.252 0.252 0.895
0.685 0.685 0.836
0.587 0.587 0.006
```

Calculated values
ΔH_f (0 K) ... 5.54 eV per formula unit
Total moment ... 0.00 μB per cell